# 1
Compound: TaVP
Source: Alexandria via LeMat-Bulk
Functional: PBE
Structure: optimized geometry

a = 3.2616 Å, b = 4.4665 Å, c = 9.3550 Å
α = 128.33°, β = 90.00°, γ = 111.41°
Element x y z (fractional)
P (0.8165, 0.6330, 0.8669)
P (0.1835, 0.3670, 0.1331)
V (0.0781, 0.1561, 0.8213)
V (0.9219, 0.8439, 0.1787)
Ta (0.7850, 0.5700, 0.3885)
Ta (0.2150, 0.4300, 0.6115)

Properties
As for the formation energy from the elements: -0.8 eV per formula unit. Its spin magnetization is 0.00 μB/f.u. As for the space group: C2/m (12).

# 2
Compound: TaV3P
Source: Alexandria via LeMat-Bulk
Functional: PBE
Structure: optimized geometry

a = 4.3053 Å, b = 4.3053 Å, c = 4.3053 Å
α = 90.00°, β = 90.00°, γ = 90.00°
Element x y z (fractional)
P (0.0000, 0.0000, 0.0000)
Ta (0.5000, 0.5000, 0.5000)
V (0.0000, 0.5000, 0.0000)
V (0.0000, 0.0000, 0.5000)
V (0.5000, 0.0000, 0.0000)

Properties
The value obtained for the excess energy over the best structure of this formula in the dataset is 457 meV per atom. As for the formation energy from the elements: 1.0 eV per formula unit. Its spin magnetization is 0.00 μB/f.u. As for the space group: Pm-3m (221).

# 3
Compound: Ta3VP
Source: Alexandria via LeMat-Bulk
Functional: PBE
Structure: optimized geometry

a = 5.1191 Å, b = 7.3919 Å, c = 8.7552 Å
α = 106.98°, β = 90.00°, γ = 90.00°
Element x y z (fractional)
Ta (0.9963, 0.9997, 0.6724)
Ta (0.0037, 0.0003, 0.3276)
Ta (0.4963, 0.0003, 0.8276)
Ta (0.5037, 0.9997, 0.1724)
Ta (0.4954, 0.8074, 0.4524)
Ta (0.5046, 0.1926, 0.5476)
Ta (0.9954, 0.1926, 0.0476)
Ta (0.0046, 0.8074, 0.9524)
Ta (0.7652, 0.6092, 0.1516)
Ta (0.2348, 0.3908, 0.8484)
Ta (0.2652, 0.3908, 0.3484)
Ta (0.7348, 0.6092, 0.6516)
V (0.2401, 0.6299, 0.6599)
V (0.7599, 0.3701, 0.3401)
V (0.7401, 0.3701, 0.8401)
V (0.2599, 0.6299, 0.1599)
P (0.0010, 0.7053, 0.4263)
P (0.9990, 0.2947, 0.5737)
P (0.5010, 0.2947, 0.0737)
P (0.4990, 0.7053, 0.9263)

Properties
The value obtained for the excess energy over the best structure of this formula in the dataset is 0 meV per atom. As for the formation energy from the elements: -2.2 eV per formula unit. Its spin magnetization is 0.00 μB/f.u. As for the space group: P2_1/c (14).

# 4
Compound: TaVP3
Source: Alexandria via LeMat-Bulk
Functional: PBE
Structure: optimized geometry

a = 4.4668 Å, b = 4.4668 Å, c = 4.4668 Å
α = 90.00°, β = 90.00°, γ = 90.00°
Element x y z (fractional)
P (0.0000, 0.5000, 0.0000)
P (0.0000, 0.0000, 0.5000)
P (0.5000, 0.0000, 0.0000)
Ta (0.5000, 0.5000, 0.5000)
V (0.0000, 0.0000, 0.0000)

Properties
The value obtained for the excess energy over the best structure of this formula in the dataset is 103 meV per atom. As for the formation energy from the elements: 3.6 eV per formula unit. Its spin magnetization is 2.02 μB/f.u. As for the space group: Pm-3m (221).

# 5
Compound: Ta3VP
Source: Alexandria via LeMat-Bulk
Functional: PBE
Structure: optimized geometry

a = 4.5763 Å, b = 4.5763 Å, c = 4.5763 Å
α = 90.00°, β = 90.00°, γ = 90.00°
Element x y z (fractional)
P (0.0000, 0.0000, 0.0000)
Ta (0.0000, 0.5000, 0.0000)
Ta (0.0000, 0.0000, 0.5000)
Ta (0.5000, 0.0000, 0.0000)
V (0.5000, 0.5000, 0.5000)

Properties
The value obtained for the excess energy over the best structure of this formula in the dataset is 932 meV per atom. As for the formation energy from the elements: 2.4 eV per formula unit. Its spin magnetization is 1.36 μB/f.u. As for the space group: Pm-3m (221).

# 6
Compound: TaVP
Source: Alexandria via LeMat-Bulk
Functional: PBE
Structure: optimized geometry

a = 3.2340 Å, b = 8.0678 Å, c = 7.4718 Å
α = 92.40°, β = 102.50°, γ = 90.00°
Element x y z (fractional)
Ta (0.9019, 0.6577, 0.8039)
Ta (0.5340, 0.8372, 0.0680)
Ta (0.4660, 0.1628, 0.9320)
Ta (0.0981, 0.3423, 0.1961)
V (0.7508, 0.3736, 0.5016)
V (0.2653, 0.1305, 0.5306)
V (0.2492, 0.6264, 0.4984)
V (0.7347, 0.8695, 0.4694)
P (0.6297, 0.5889, 0.2594)
P (0.3604, 0.8913, 0.7208)
P (0.3703, 0.4111, 0.7406)
P (0.6396, 0.1087, 0.2792)

Properties
As for the formation energy from the elements: -1.0 eV per formula unit. Its spin magnetization is 0.00 μB/f.u. As for the space group: C2/m (12).

# 7
Compound: TaVP
Source: Alexandria via LeMat-Bulk
Functional: PBE
Structure: optimized geometry

a = 3.3390 Å, b = 7.2879 Å, c = 7.2879 Å
α = 90.00°, β = 90.00°, γ = 90.00°
Element x y z (fractional)
Ta (0.5000, 0.7410, 0.5607)
Ta (0.0000, 0.4393, 0.7410)
Ta (0.0000, 0.5607, 0.2590)
Ta (0.5000, 0.2590, 0.4393)
V (0.5000, 0.8686, 0.1508)
V (0.5000, 0.1314, 0.8492)
V (0.0000, 0.1508, 0.1314)
V (0.0000, 0.8492, 0.8686)
P (0.5000, 0.3621, 0.0910)
P (0.0000, 0.9090, 0.3621)
P (0.0000, 0.0910, 0.6379)
P (0.5000, 0.6379, 0.9090)

Properties
As for the formation energy from the elements: -1.3 eV per formula unit. Its spin magnetization is 0.00 μB/f.u. As for the space group: P4_2/m (84).

# 8
Compound: TaVP3
Source: Alexandria via LeMat-Bulk
Functional: PBE
Structure: optimized geometry

a = 4.7777 Å, b = 4.7777 Å, c = 4.7777 Å
α = 90.00°, β = 90.00°, γ = 90.00°
Element x y z (fractional)
P (0.0000, 0.5000, 0.0000)
P (0.0000, 0.0000, 0.5000)
P (0.5000, 0.0000, 0.0000)
Ta (0.0000, 0.0000, 0.0000)
V (0.5000, 0.5000, 0.5000)

Properties
The value obtained for the excess energy over the best structure of this formula in the dataset is 0 meV per atom. As for the formation energy from the elements: 3.1 eV per formula unit. Its spin magnetization is 2.85 μB/f.u. As for the space group: Pm-3m (221).

# 9
Compound: Ta2PW
Source: Alexandria via LeMat-Bulk
Functional: PBE
Structure: optimized geometry

a = 4.4349 Å, b = 2.8818 Å, c = 5.1947 Å
α = 89.00°, β = 90.00°, γ = 90.00°
Element x y z (fractional)
Ta (0.0000, 0.1778, 0.7500)
Ta (0.0000, 0.8222, 0.2500)
P (0.5000, 0.0000, 0.5000)
W (0.5000, 0.5000, 0.0000)

Properties
As for the formation energy from the elements: 0.2 eV per formula unit. Its spin magnetization is 0.00 μB/f.u. As for the space group: P2/m (10).

# 10
Compound: TaPW2
Source: Alexandria via LeMat-Bulk
Functional: PBE
Structure: optimized geometry

a = 2.8868 Å, b = 2.8868 Å, c = 8.0930 Å
α = 90.00°, β = 90.00°, γ = 110.16°
Element x y z (fractional)
Ta (0.5000, 0.5000, 0.0000)
P (0.5000, 0.5000, 0.5000)
W (0.0000, 0.0000, 0.2759)
W (0.0000, 0.0000, 0.7241)

Properties
As for the formation energy from the elements: 0.2 eV per formula unit. Its spin magnetization is 0.00 μB/f.u. As for the space group: Cmmm (65).

# 11
Compound: TaPW2
Source: Alexandria via LeMat-Bulk
Functional: PBE
Structure: optimized geometry

a = 3.0195 Å, b = 4.1452 Å, c = 5.1236 Å
α = 90.00°, β = 90.00°, γ = 90.00°
Element x y z (fractional)
Ta (0.5000, 0.5000, 0.5000)
P (0.5000, 0.5000, 0.0000)
W (0.0000, 0.0000, 0.7562)
W (0.0000, 0.0000, 0.2438)

Properties
As for the formation energy from the elements: 0.9 eV per formula unit. Its spin magnetization is 0.00 μB/f.u. As for the space group: Pmmm (47).

# 12
Compound: TaPW4
Source: Alexandria via LeMat-Bulk
Functional: PBE
Structure: optimized geometry

a = 5.2751 Å, b = 5.2751 Å, c = 5.2751 Å
α = 60.00°, β = 60.00°, γ = 60.00°
Element x y z (fractional)
Ta (0.0000, 0.0000, 0.0000)
P (0.7500, 0.7500, 0.7500)
W (0.8754, 0.3749, 0.3749)
W (0.3749, 0.3749, 0.8754)
W (0.3749, 0.8754, 0.3749)
W (0.3749, 0.3749, 0.3749)

Properties
As for the formation energy from the elements: 3.4 eV per formula unit. Its spin magnetization is 0.00 μB/f.u. As for the space group: F-43m (216).

# 13
Compound: TaPW3
Source: Alexandria via LeMat-Bulk
Functional: PBE
Structure: optimized geometry

a = 4.8006 Å, b = 4.8006 Å, c = 4.8006 Å
α = 90.00°, β = 90.00°, γ = 90.00°
Element x y z (fractional)
P (0.5000, 0.5000, 0.5000)
W (0.0000, 0.5000, 0.0000)
W (0.0000, 0.0000, 0.5000)
W (0.5000, 0.0000, 0.0000)
Ta (0.0000, 0.0000, 0.0000)

Properties
The value obtained for the excess energy over the best structure of this formula in the dataset is 1837 meV per atom. As for the formation energy from the elements: 12.8 eV per formula unit. Its spin magnetization is 0.00 μB/f.u. As for the space group: Pm-3m (221).

# 14
Compound: Ta2PW
Source: Alexandria via LeMat-Bulk
Functional: PBE
Structure: optimized geometry

a = 5.0874 Å, b = 5.0874 Å, c = 4.1915 Å
α = 90.00°, β = 90.00°, γ = 142.20°
Element x y z (fractional)
Ta (0.1069, 0.8931, 0.0000)
Ta (0.3921, 0.6079, 0.5000)
P (0.6651, 0.3349, 0.5000)
W (0.8347, 0.1653, 0.0000)

Properties
As for the formation energy from the elements: -0.5 eV per formula unit. Its spin magnetization is 0.00 μB/f.u. As for the space group: Amm2 (38).

# 15
Compound: TaPW2
Source: Alexandria via LeMat-Bulk
Functional: PBE
Structure: optimized geometry

a = 3.0208 Å, b = 4.0908 Å, c = 5.1504 Å
α = 90.00°, β = 90.00°, γ = 90.00°
Element x y z (fractional)
Ta (0.5000, 0.5000, 0.7411)
P (0.0000, 0.0000, 0.5040)
W (0.0000, 0.0000, 0.0115)
W (0.5000, 0.5000, 0.2434)

Properties
As for the formation energy from the elements: 0.6 eV per formula unit. Its spin magnetization is 0.00 μB/f.u. As for the space group: Pmm2 (25).

# 16
Compound: Ta2PW
Source: Alexandria via LeMat-Bulk
Functional: PBE
Structure: optimized geometry

a = 4.5809 Å, b = 4.5809 Å, c = 3.2093 Å
α = 90.00°, β = 90.00°, γ = 104.63°
Element x y z (fractional)
Ta (0.5000, 0.0000, 0.0000)
Ta (0.0000, 0.5000, 0.0000)
P (0.5000, 0.5000, 0.5000)
W (0.0000, 0.0000, 0.5000)

Properties
As for the formation energy from the elements: -0.4 eV per formula unit. Its spin magnetization is 0.00 μB/f.u. As for the space group: Cmmm (65).

# 17
Compound: Ta2PW
Source: Alexandria via LeMat-Bulk
Functional: PBE
Structure: optimized geometry

a = 4.4958 Å, b = 4.4958 Å, c = 4.4958 Å
α = 60.00°, β = 60.00°, γ = 60.00°
Element x y z (fractional)
Ta (0.0000, 0.0000, 0.0000)
Ta (0.7500, 0.7500, 0.7500)
P (0.5000, 0.5000, 0.5000)
W (0.2500, 0.2500, 0.2500)

Properties
As for the formation energy from the elements: 1.0 eV per formula unit. Its spin magnetization is 0.00 μB/f.u. As for the space group: F-43m (216).

# 18
Compound: TaPW2
Source: Alexandria via LeMat-Bulk
Functional: PBE
Structure: optimized geometry

a = 5.2102 Å, b = 5.2102 Å, c = 5.2102 Å
α = 138.10°, β = 138.10°, γ = 60.76°
Element x y z (fractional)
Ta (0.7500, 0.2500, 0.5000)
P (0.5000, 0.5000, 0.0000)
W (0.0000, 0.0000, 0.0000)
W (0.2500, 0.7500, 0.5000)

Properties
As for the formation energy from the elements: 0.9 eV per formula unit. Its spin magnetization is 0.00 μB/f.u. As for the space group: I-4m2 (119).

# 19
Compound: TaPW2
Source: Alexandria via LeMat-Bulk
Functional: PBE
Structure: optimized geometry

a = 8.5584 Å, b = 8.5584 Å, c = 8.5584 Å
α = 20.02°, β = 20.02°, γ = 20.02°
Element x y z (fractional)
Ta (0.0000, 0.0000, 0.0000)
P (0.5000, 0.5000, 0.5000)
W (0.7609, 0.7609, 0.7609)
W (0.2391, 0.2391, 0.2391)

Properties
As for the formation energy from the elements: 0.8 eV per formula unit. Its spin magnetization is 0.00 μB/f.u. As for the space group: R-3m (166).

# 20
Compound: Ta2PW
Source: Alexandria via LeMat-Bulk
Functional: PBE
Structure: optimized geometry

a = 7.7433 Å, b = 7.7433 Å, c = 7.7433 Å
α = 24.15°, β = 24.15°, γ = 24.15°
Element x y z (fractional)
Ta (0.0118, 0.0118, 0.0118)
Ta (0.2479, 0.2479, 0.2479)
P (0.7520, 0.7520, 0.7520)
W (0.4883, 0.4883, 0.4883)

Properties
As for the formation energy from the elements: -0.1 eV per formula unit. Its spin magnetization is 0.00 μB/f.u. As for the space group: R3m (160).